No. 1
## Er3S3N (PBE)

Data for a relaxed structure of Er3S3N.

## Properties
- Formation energy (no corrections): -1348 kJ/mol of formula units
- Density: 7.05 g/cm³

a b c (Å): 11.853 3.776 12.890
angles (deg): 90.00 90.00 90.00
Space group Pnma (No. 62)
Unique sites:
Er  0.050  0.250  0.140 x4
Er  0.061  0.250  0.634 x4
Er  0.209  0.250  0.857 x4
S  0.096  0.250  0.405 x4
S  0.132  0.750  0.989 x4
S  0.223  0.750  0.691 x4
N  0.031  0.250  0.799 x4



No. 2
## YInCl2 (PBE)

Data for a relaxed structure of YInCl2.

## Properties
- Formation energy (no corrections): -487 kJ/mol of formula units
- Energy above the lowest structure with this stoichiometry: 29 meV per atom
- Density: 3.93 g/cm³

a b c (Å): 3.6020 3.6020 30.9738
angles (deg): 90.00 90.00 120.00
Space group R-3m (No. 166, hexagonal axes)
Unique sites:
Y  0.0000  0.0000  0.0000 x3
In  0.0000  0.0000  0.5000 x3
Cl  0.0000  0.0000  0.2751 x6



No. 3
## Cs2K2Ca (PBE)

Data for a relaxed structure of Cs2K2Ca.

## Properties
- Energy above the lowest structure with this stoichiometry: 0 meV per atom
- Formation energy: 0.185 eV/atom
- Density: 1.55 g/cm³

a b c (Å): 10.877 10.877 6.962
angles (deg): 90.00 90.00 90.00
Space group P4/mbm (No. 127)
Unique sites:
Cs  0.181  0.319  0.000 x4
K  0.136  0.636  0.500 x4
Ca  0.000  0.000  0.500 x2



No. 4
## CaNi3Pb (PBE)

Data for a relaxed structure of CaNi3Pb.

## Properties
- Energy above the lowest structure with this stoichiometry: 0 meV per atom
- Formation energy: 0.611 eV/atom
- Density: 6.25 g/cm³

a b c (Å): 4.828 4.828 4.828
angles (deg): 90.00 90.00 90.00
Space group Pm-3m (No. 221)
Unique sites:
Ca  0.000  0.000  0.000 x1
Ni  0.000  0.500  0.500 x3
Pb  0.500  0.500  0.500 x1